1.
Density functional theory data (GGA-PBE) for an optimized crystal structure of Cs3Tl2In.

Output
As for the crystal system: monoclinic. The formation energy is -0.045 eV/atom.

Cell: 8.3896 11.5547 13.1444 Å, 90.00 98.12 90.00°
Space group P2_1/c (No. 14)
Symmetry-distinct sites (fractional):
Cs (0.0623, 0.1479, 0.4228) [4 per cell]
Cs (0.2592, 0.0464, 0.1151) [4 per cell]
Cs (0.2875, 0.7435, 0.3565) [4 per cell]
Tl (0.1892, 0.1047, 0.7344) [4 per cell]
Tl (0.4337, 0.5304, 0.1090) [4 per cell]
In (0.4572, 0.2234, 0.8615) [4 per cell]

2.
Density functional theory data (GGA-PBE) for an optimized crystal structure of Hf2Sc3Si4.

Output
As for the crystal system: tetragonal. Its uncorrected formation energy is -788 meV/atom.

Cell: 7.1767 7.1767 12.9663 Å, 90.00 90.00 90.00°
Space group P4_12_12 (No. 92)
Symmetry-distinct sites (fractional):
Hf (0.0012, 0.1423, 0.1235) [8 per cell]
Sc (0.0054, 0.6511, 0.2153) [8 per cell]
Sc (0.1774, 0.1774, 0.5000) [4 per cell]
Si (0.0517, 0.3000, 0.3135) [8 per cell]
Si (0.1478, 0.7929, 0.4272) [8 per cell]

3.
Density functional theory data (GGA-PBE) for an optimized crystal structure of HfSiRh2S.

Output
As for the crystal system: tetragonal. Its uncorrected formation energy is -49 meV/atom.

Cell: 4.3408 4.3408 4.7617 Å, 90.00 90.00 90.00°
Space group P4/mmm (No. 123)
Symmetry-distinct sites (fractional):
Hf (0.0000, 0.0000, 0.0000) [1 per cell]
Si (0.5000, 0.5000, 0.0000) [1 per cell]
Rh (0.0000, 0.5000, 0.5000) [2 per cell]
S (0.0000, 0.0000, 0.5000) [1 per cell]

4.
Density functional theory data (GGA-PBE) for an optimized crystal structure of HfCo4W.

Output
As for the crystal system: cubic. The formation energy is -0.128 eV/atom.

Cell: 6.7439 6.7439 6.7439 Å, 90.00 90.00 90.00°
Space group F-43m (No. 216)
Symmetry-distinct sites (fractional):
Hf (0.0000, 0.0000, 0.0000) [4 per cell]
Co (0.1249, 0.1249, 0.3751) [16 per cell]
W (0.2500, 0.2500, 0.7500) [4 per cell]

5.
Density functional theory data (GGA-PBE) for an optimized crystal structure of PmIn2F8.

Output
As for the crystal system: monoclinic. Its uncorrected formation energy is -2882 meV/atom.

Cell: 9.5651 7.0312 5.4635 Å, 90.00 104.06 90.00°
Space group C2/m (No. 12)
Symmetry-distinct sites (fractional):
Pm (0.0000, 0.0000, 0.0000) [2 per cell]
In (0.1715, 0.5000, 0.4377) [4 per cell]
F (0.0612, 0.5000, 0.7472) [4 per cell]
F (0.1521, 0.1957, 0.2884) [8 per cell]
F (0.1591, 0.0000, 0.7623) [4 per cell]

6.
Density functional theory data (GGA-PBE) for an optimized crystal structure of ErTe2Pd.

Output
As for the crystal system: trigonal. For the distance to the lowest polymorph of the same formula, the calculation gives 0 meV per atom. Its uncorrected formation energy is -730 meV/atom.

Cell: 4.1814 4.1814 20.7173 Å, 90.00 90.00 120.00°
Space group R3m (No. 160, hexagonal axes)
Symmetry-distinct sites (fractional):
Er (0.0000, 0.0000, 0.0000) [3 per cell]
Te (0.0000, 0.0000, 0.2431) [3 per cell]
Te (0.0000, 0.0000, 0.4278) [3 per cell]
Pd (0.0000, 0.0000, 0.8386) [3 per cell]

no.,V (Å³/atom)
1,52.56
2,18.55
3,17.94
4,12.78
5,16.20
6,26.14